Compound: YScPdAu
Source: Alexandria
Functional: PBE
Structure: relaxed

The space group is Amm2 (No. 38) and the conventional cell measures 4.625, 3.609 and 10.357 Å, with angles of 90.00, 90.00 and 90.00 degrees. The asymmetric unit holds Y at (0.000, 0.000, 0.000), Sc at (0.500, 0.000, 0.279), Pd at (0.000, 0.000, 0.730) and Au at (0.500, 0.000, 0.559).

The calculation puts the uncorrected energy at -49.3 eV for the cell shown. The calculation puts the density of states at the Fermi level at 4.26 states/eV per cell. For the formation energy, the calculation gives -0.8406 eV/atom.

***

Compound: SrCaV2Ir
Source: Alexandria
Functional: PBE
Structure: relaxed

The space group is P4/mmm (No. 123) and the conventional cell measures 4.910, 4.910 and 5.651 Å, with angles of 90.00, 90.00 and 90.00 degrees. The asymmetric unit holds Sr at (0.000, 0.000, 0.000), Ca at (0.500, 0.500, 0.000), V at (0.000, 0.500, 0.500) and Ir at (0.000, 0.000, 0.500).

The calculation puts the uncorrected energy at -28.1 eV for the cell shown. The calculation puts the density of states at the Fermi level at 3.60 states/eV per cell. For the formation energy, the calculation gives 0.5396 eV/atom.

***

Compound: Sr3AgHg
Source: Alexandria
Functional: PBE
Structure: relaxed

The space group is Pm-3m (No. 221) and the conventional cell measures 6.098, 6.098 and 6.098 Å, with angles of 90.00, 90.00 and 90.00 degrees. The asymmetric unit holds Sr at (0.000, 0.000, 0.500), Ag at (0.000, 0.000, 0.000) and Hg at (0.500, 0.500, 0.500).

The calculation puts the uncorrected energy at -8.6 eV for the cell shown. The calculation puts the density of states at the Fermi level at 3.76 states/eV per cell. For the formation energy, the calculation gives -0.0864 eV/atom. As for the polymorph energy (0 for the lowest one): 0.229 eV per atom.

***

Compound: TmMg2Sc
Source: Alexandria
Functional: PBE
Structure: relaxed

The space group is R3m (No. 160, hexagonal axes) and the conventional cell measures 3.3049, 3.3049 and 32.5205 Å, with angles of 90.00, 90.00 and 120.00 degrees. The asymmetric unit holds Tm at (0.0000, 0.0000, 0.0000), Mg at (0.0000, 0.0000, 0.5820), Mg at (0.0000, 0.0000, 0.7543) and Sc at (0.0000, 0.0000, 0.1692).

The calculation puts the uncorrected energy at -41.2 eV for the cell shown. The calculation puts the density of states at the Fermi level at 16.45 states/eV per cell. For the formation energy, the calculation gives 0.0614 eV/atom. As for the polymorph energy (0 for the lowest one): 0.110 eV per atom.

***

Compound: NaSc2Os2
Source: Alexandria
Functional: PBE
Structure: relaxed

The space group is P4/mbm (No. 127) and the conventional cell measures 8.184, 8.184 and 2.855 Å, with angles of 90.00, 90.00 and 90.00 degrees. The asymmetric unit holds Na at (0.000, 0.000, 0.000), Sc at (0.146, 0.354, 0.500) and Os at (0.147, 0.647, 0.000).

The calculation puts the uncorrected energy at -71.7 eV for the cell shown. The calculation puts the density of states at the Fermi level at 6.60 states/eV per cell. For the formation energy, the calculation gives 0.1174 eV/atom. As for the polymorph energy (0 for the lowest one): 0.000 eV per atom.

***

Compound: LaMgCu
Source: Alexandria
Functional: PBE
Structure: relaxed

The space group is F-43m (No. 216) and the conventional cell measures 7.100, 7.100 and 7.100 Å, with angles of 90.00, 90.00 and 90.00 degrees. The asymmetric unit holds La at (0.000, 0.000, 0.000), Mg at (0.250, 0.250, 0.250) and Cu at (0.250, 0.250, 0.750).

The calculation puts the uncorrected energy at -36.4 eV for the cell shown. The calculation puts the density of states at the Fermi level at 14.17 states/eV per cell. For the formation energy, the calculation gives 0.5025 eV/atom.

***

Compound: Y3ZrTa
Source: Alexandria
Functional: PBE
Structure: relaxed

The space group is Pm-3m (No. 221) and the conventional cell measures 5.424, 5.424 and 5.424 Å, with angles of 90.00, 90.00 and 90.00 degrees. The asymmetric unit holds Y at (0.000, 0.000, 0.500), Zr at (0.500, 0.500, 0.500) and Ta at (0.000, 0.000, 0.000).

The calculation puts the uncorrected energy at -35.3 eV for the cell shown. The calculation puts the density of states at the Fermi level at 6.46 states/eV per cell. For the formation energy, the calculation gives 0.9041 eV/atom. As for the polymorph energy (0 for the lowest one): 0.000 eV per atom.

***

Compound: CaPtSe
Source: Alexandria
Functional: PBE
Structure: relaxed

The space group is Pnma (No. 62) and the conventional cell measures 6.600, 3.818 and 10.414 Å, with angles of 90.00, 90.00 and 90.00 degrees. The asymmetric unit holds Ca at (0.179, 0.250, 0.140), Pt at (0.113, 0.250, 0.449) and Se at (0.176, 0.250, 0.849).

The calculation puts the uncorrected energy at -60.5 eV for the cell shown. The calculation puts the density of states at the Fermi level at 0.00 states/eV per cell. The uncorrected formation energy is -1200 meV per atom.

***

Compound: CaGaN3
Source: Alexandria
Functional: PBE
Structure: relaxed

The space group is Pm-3m (No. 221) and the conventional cell measures 4.564, 4.564 and 4.564 Å, with angles of 90.00, 90.00 and 90.00 degrees. The asymmetric unit holds Ca at (0.000, 0.000, 0.000), Ga at (0.500, 0.500, 0.500) and N at (0.000, 0.000, 0.500).

The calculation puts the uncorrected energy at -20.6 eV for the cell shown. The calculation puts the density of states at the Fermi level at 3.32 states/eV per cell. The uncorrected formation energy is 1887 meV per atom.

***

Compound: Na2Te2Pt
Source: Alexandria
Functional: PBE
Structure: relaxed

The space group is Immm (No. 71) and the conventional cell measures 3.925, 7.589 and 9.465 Å, with angles of 90.00, 90.00 and 90.00 degrees. The asymmetric unit holds Na at (0.000, 0.000, 0.218), Te at (0.000, 0.237, 0.500) and Pt at (0.000, 0.500, 0.000).

The calculation puts the uncorrected energy at -36.7 eV for the cell shown. The calculation puts the density of states at the Fermi level at 0.15 states/eV per cell. The uncorrected formation energy is -676 meV per atom.

***

Compound: Hf3Zr2Pa4
Source: Alexandria
Functional: PBE
Structure: relaxed

The space group is C2/m (No. 12) and the conventional cell measures 16.579, 3.177 and 8.848 Å, with angles of 90.00, 113.44 and 90.00 degrees. The asymmetric unit holds Hf at (0.000, 0.000, 0.000), Hf at (0.156, 0.000, 0.680), Zr at (0.165, 0.500, 0.000), Pa at (0.020, 0.500, 0.343) and Pa at (0.177, 0.000, 0.334).

The calculation puts the uncorrected energy at -169.0 eV for the cell shown. The calculation puts the density of states at the Fermi level at 28.91 states/eV per cell. For the formation energy, the calculation gives 0.0497 eV/atom.

***

Compound: Cs2WI4Br2
Source: Alexandria
Functional: PBE
Structure: relaxed

The space group is C2/m (No. 12) and the conventional cell measures 13.929, 8.149 and 7.000 Å, with angles of 90.00, 98.40 and 90.00 degrees. The asymmetric unit holds Cs at (0.155, 0.000, 0.281), W at (0.000, 0.500, 0.500), I at (0.094, 0.259, 0.741) and Br at (0.139, 0.500, 0.302).

The calculation puts the uncorrected energy at -63.3 eV for the cell shown. The calculation puts the density of states at the Fermi level at 14.94 states/eV per cell. The uncorrected formation energy is -828 meV per atom.

***

Compound: SmZrNiIr
Source: Alexandria
Functional: PBE
Structure: relaxed

The space group is F-43m (No. 216) and the conventional cell measures 6.749, 6.749 and 6.749 Å, with angles of 90.00, 90.00 and 90.00 degrees. The asymmetric unit holds Sm at (0.000, 0.000, 0.000), Zr at (0.000, 0.000, 0.500), Ni at (0.250, 0.250, 0.750) and Ir at (0.250, 0.250, 0.250).

The calculation puts the uncorrected energy at -119.0 eV for the cell shown. The calculation puts the density of states at the Fermi level at 19.08 states/eV per cell. For the formation energy, the calculation gives -0.4612 eV/atom.